Record 1
Entry from the Alexandria database: a relaxed structure of SrYRe2 (GGA-PBE).

```
SrYRe2
1.0
3.152 0.000 0.000
0.000 4.671 0.000
0.000 0.000 6.785
Sr Y Re
1 1 2
Direct
0.500 0.500 0.250 Sr
0.500 0.500 0.750 Y
0.000 0.000 0.919 Re
0.000 0.000 0.581 Re
```

Summary:
- ΔE_f (meV/atom) = 695.7
- V (Å³/atom) = 24.976
- E above lowest polymorph (eV/atom) = 0.456
- magnetic moment (μB per cell) = 0.00
- total energy (eV per atom) = -7.565

Record 2
Entry from the Alexandria database: a relaxed structure of Sc2Zn2Ru (GGA-PBE).

```
Sc2Zn2Ru
1.0
-6.245 1.050 -2.639
-2.025 -6.115 2.360
-1.082 1.590 3.191
Sc Zn Ru
4 4 2
Direct
0.817 0.317 0.500 Sc
0.317 0.183 0.500 Sc
0.683 0.817 0.500 Sc
0.183 0.683 0.500 Sc
0.125 0.375 0.000 Zn
0.375 0.875 0.000 Zn
0.875 0.625 0.000 Zn
0.625 0.125 0.000 Zn
0.000 0.000 0.000 Ru
0.500 0.500 0.000 Ru
```

Summary:
- ΔE_f (meV/atom) = -217.5
- V (Å³/atom) = 17.536
- E above lowest polymorph (eV/atom) = 0.000
- magnetic moment (μB per cell) = 0.00
- total energy (eV per atom) = -5.115

Record 3
Entry from the Alexandria database: a relaxed structure of AlTl2As (GGA-PBE).

```
AlTl2As
1.0
-0.419 -0.630 -3.169
1.631 -4.383 0.656
-6.044 -2.068 1.210
Tl As Al
2 1 1
Direct
0.000 0.000 0.999 Tl
0.000 0.000 0.501 Tl
0.500 0.500 0.750 As
0.500 0.500 0.250 Al
```

Summary:
- ΔE_f (meV/atom) = 273.9
- V (Å³/atom) = 25.010
- E above lowest polymorph (eV/atom) = 0.327
- magnetic moment (μB per cell) = 0.00
- total energy (eV per atom) = -3.007

Record 4
Entry from the Alexandria database: a relaxed structure of LiFe2Ir (GGA-PBE).

```
LiFe2Ir
1.0
6.756 0.000 0.000
0.000 6.756 0.000
3.378 3.378 2.387
Ir Fe Li
2 4 2
Direct
0.000 0.000 0.000 Ir
0.750 0.250 0.500 Ir
0.375 0.339 0.750 Fe
0.661 0.125 0.250 Fe
0.875 0.911 0.750 Fe
0.089 0.625 0.250 Fe
0.500 0.500 0.000 Li
0.250 0.750 0.500 Li
```

Summary:
- ΔE_f (meV/atom) = 702.5
- V (Å³/atom) = 13.615
- magnetic moment (μB per cell) = 0.00
- total energy (eV per atom) = -6.223

Record 5
Entry from the Alexandria database: a relaxed structure of VAg2Se4 (GGA-PBE).

```
VAg2Se4
1.0
-2.132 3.937 3.469
3.582 -1.937 4.401
4.246 3.851 -1.761
Ag Se V
2 4 1
Direct
0.000 0.000 0.500 Ag
0.000 0.500 0.000 Ag
0.265 0.210 0.790 Se
0.735 0.210 0.210 Se
0.735 0.790 0.790 Se
0.265 0.790 0.210 Se
0.000 0.000 0.000 V
```

Summary:
- V (Å³/atom) = 29.095
- uncorrected formation energy (meV/atom) = -298
- E above lowest polymorph (eV/atom) = 0.000
- magnetic moment (μB per cell) = 0.00
- total energy (eV per atom) = -4.406

Record 6
Entry from the Alexandria database: a relaxed structure of PrNd2CdN (GGA-PBE).

```
PrNd2CdN
1.0
5.096 0.000 0.000
0.000 5.043 0.000
0.000 0.000 5.043
N Cd Nd Pr
1 1 2 1
Direct
0.000 0.000 0.000 N
0.500 0.500 0.500 Cd
0.000 0.000 0.500 Nd
0.000 0.500 0.000 Nd
0.500 0.000 0.000 Pr
```

Summary:
- V (Å³/atom) = 25.919
- uncorrected formation energy (meV/atom) = -689
- magnetic moment (μB per cell) = 0.00
- total energy (eV per atom) = -5.400

Record 7
Entry from the Alexandria database: a relaxed structure of PmHoSb (GGA-PBE).

```
PmHoSb
1.0
-4.030 -0.005 0.289
0.288 -0.391 4.011
1.901 5.415 -1.643
Pm Sb Ho
1 1 1
Direct
0.960 0.960 0.920 Pm
0.623 0.623 0.245 Sb
0.268 0.268 0.535 Ho
```

Summary:
- V (Å³/atom) = 28.518
- uncorrected formation energy (meV/atom) = -637
- E above lowest polymorph (eV/atom) = 0.188
- magnetic moment (μB per cell) = 0.67
- total energy (eV per atom) = -5.121

Record 8
Entry from the Alexandria database: a relaxed structure of Ce3PaBi4 (GGA-PBE).

```
Ce3PaBi4
1.0
7.875 0.048 0.000
-2.715 7.473 0.000
0.000 0.000 9.157
Bi Ce Pa
8 6 2
Direct
0.496 0.247 0.371 Bi
0.499 0.756 0.123 Bi
0.004 0.753 0.371 Bi
0.001 0.244 0.123 Bi
0.501 0.244 0.877 Bi
0.999 0.756 0.877 Bi
0.504 0.753 0.629 Bi
0.996 0.247 0.629 Bi
0.250 0.000 0.624 Ce
0.750 0.000 0.376 Ce
0.750 0.500 0.624 Ce
0.250 0.500 0.376 Ce
0.250 0.500 0.875 Ce
0.750 0.500 0.125 Ce
0.250 0.000 0.124 Pa
0.750 0.000 0.876 Pa
```

Summary:
- ΔE_f (meV/atom) = -596.4
- V (Å³/atom) = 33.755
- magnetic moment (μB per cell) = 4.14
- total energy (eV per atom) = -5.949